# 1
Density functional theory data (PBE) for crystalline ThGeSb at its relaxed geometry.

Values from the calculation:
- Magnetization: 0.0000 μB/atom
- Uncorrected energy: -5.768 eV per atom
- Volume: 26.2 Å³/atom
- Mass density: 8999 kg/m³
- ΔE_f (raw): -0.382 eV/atom
- Symmetry: P-6m2, No. 187

Cell: 3.9454 4.7990 4.7990 Å, 120.00 90.00 90.00°
Atoms (fractional coordinates):
Ge 0.5001 0.6667 0.3333
Th 0.0000 0.0000 0.0000
Sb 0.4999 0.3333 0.6667

# 2
Density functional theory data (PBE) for crystalline Nd2CdGe3Pt4 at its relaxed geometry.

Values from the calculation:
- Magnetization: 0.0000 μB/atom
- Uncorrected energy: -5.685 eV per atom
- Volume: 20.1 Å³/atom
- Energy of formation from the pure elements: -0.84 eV per atom
- Mass density: 11571 kg/m³
- Symmetry: P-4m2, No. 115

Cell: 4.3600 4.3600 10.5629 Å, 90.00 90.00 90.00°
Atoms (fractional coordinates):
Nd 0.0000 0.5000 0.7550
Nd 0.5000 0.0000 0.2450
Cd 0.5000 0.5000 0.5000
Pt 0.0000 0.5000 0.3534
Pt 0.5000 0.0000 0.6466
Pt 0.0000 0.0000 0.0000
Pt 0.5000 0.5000 0.0000
Ge 0.0000 0.5000 0.1245
Ge 0.5000 0.0000 0.8755
Ge 0.0000 0.0000 0.5000

# 3
Density functional theory data (PBE) for crystalline ErMgPdPt at its relaxed geometry.

Values from the calculation:
- Magnetization: 0.0000 μB/atom
- Uncorrected energy: -5.326 eV per atom
- Volume: 18.7 Å³/atom
- Energy of formation from the pure elements: -0.98 eV per atom
- Mass density: 10919 kg/m³
- Symmetry: F-43m, No. 216

Cell: 4.7333 4.7333 4.7333 Å, 60.00 60.00 60.00°
Atoms (fractional coordinates):
Mg 0.5000 0.5000 0.5000
Pd 0.2500 0.2500 0.2500
Er 0.0000 0.0000 0.0000
Pt 0.7500 0.7500 0.7500

# 4
Density functional theory data (PBE) for crystalline CaAc12Pb7 at its relaxed geometry.

Values from the calculation:
- Magnetization: 0.0004 μB/atom
- Uncorrected energy: -4.148 eV per atom
- Volume: 40.9 Å³/atom
- Energy of formation from the pure elements: -0.28 eV per atom
- Mass density: 8565 kg/m³
- Symmetry: R-3m, No. 166

Cell: 10.4001 10.4001 10.4001 Å, 110.90 110.90 110.90°
Atoms (fractional coordinates):
Ac 0.2708 0.7292 0.0000
Ac 0.5166 0.8363 0.5166
Ac 0.5166 0.5166 0.8363
Ac 0.0000 0.2708 0.7292
Ac 0.7292 0.2708 0.0000
Ac 0.7292 0.0000 0.2708
Ac 0.4834 0.1637 0.4834
Ac 0.4834 0.4834 0.1637
Ac 0.0000 0.7292 0.2708
Ac 0.1637 0.4834 0.4834
Ac 0.8363 0.5166 0.5166
Ac 0.2708 0.0000 0.7292
Pb 0.8639 0.5412 0.8638
Pb 0.1361 0.4588 0.1362
Pb 0.1362 0.1361 0.4588
Pb 0.8638 0.8639 0.5412
Pb 0.5412 0.8638 0.8639
Pb 0.4588 0.1362 0.1361
Pb 0.5000 0.5000 0.5000
Ca 0.0000 0.0000 0.0000

# 5
Density functional theory data (PBE) for crystalline CeDy2Rh at its relaxed geometry.

Values from the calculation:
- Magnetization: 0.4586 μB/atom
- Uncorrected energy: -5.892 eV per atom
- Volume: 29.0 Å³/atom
- Energy above the most stable polymorph in this dataset: 195 meV/atom
- Energy of formation from the pure elements: -0.27 eV per atom
- Mass density: 8143 kg/m³
- Symmetry: R3m, No. 160

Cell: 3.7860 3.7860 9.5834 Å, 78.61 78.61 60.00°
Atoms (fractional coordinates):
Ce 0.5012 0.5012 0.4964
Dy 0.2739 0.2739 0.1783
Dy 0.0588 0.0588 0.8237
Rh 0.6661 0.6661 0.0016

# 6
Density functional theory data (PBE) for crystalline NaTi2As2 at its relaxed geometry.

Values from the calculation:
- Magnetization: 0.0001 μB/atom
- Uncorrected energy: -5.823 eV per atom
- Volume: 17.9 Å³/atom
- Energy above the most stable polymorph in this dataset: 66 meV/atom
- Energy of formation from the pure elements: -0.54 eV per atom
- Mass density: 4974 kg/m³
- Symmetry: P4/mbm, No. 127

Cell: 7.3313 7.3313 3.3360 Å, 90.00 90.00 90.00°
Atoms (fractional coordinates):
Ti 0.1372 0.6372 0.5000
Ti 0.8628 0.3628 0.5000
Ti 0.6372 0.8628 0.5000
Ti 0.3628 0.1372 0.5000
Na 0.5000 0.5000 0.0000
Na 0.0000 0.0000 0.0000
As 0.8499 0.6501 0.0000
As 0.3499 0.8499 0.0000
As 0.6501 0.1501 0.0000
As 0.1501 0.3499 0.0000

# 7
Density functional theory data (PBE) for crystalline Ce5Sb4N at its relaxed geometry.

Values from the calculation:
- Magnetization: 0.4268 μB/atom
- Uncorrected energy: -6.417 eV per atom
- Volume: 29.2 Å³/atom
- Mass density: 6838 kg/m³
- ΔE_f (raw): -0.968 eV/atom
- Symmetry: I4, No. 79

Cell: 6.3136 7.4956 7.4956 Å, 79.78 65.09 65.09°
Atoms (fractional coordinates):
Sb 0.5869 0.6086 0.2229
Sb 0.4184 0.3914 0.7771
Sb 0.1955 0.2229 0.3914
Sb 0.8098 0.7771 0.6086
Ce 0.4231 0.0000 0.0000
Ce 0.7386 0.1685 0.3568
Ce 0.2639 0.8315 0.6432
Ce 0.9071 0.3568 0.8315
Ce 0.0954 0.6432 0.1685
N 0.0718 0.0000 0.0000

# 8
Density functional theory data (PBE) for crystalline HfTeRuN2 at its relaxed geometry.

Values from the calculation:
- Magnetization: 0.5679 μB/atom
- Uncorrected energy: -6.980 eV per atom
- Volume: 19.9 Å³/atom
- Energy above the most stable polymorph in this dataset: 0 meV/atom
- Mass density: 7259 kg/m³
- ΔE_f (raw): 0.824 eV/atom
- Symmetry: P4/mmm, No. 123

Cell: 4.0706 4.0706 6.0077 Å, 90.00 90.00 90.00°
Atoms (fractional coordinates):
Te 0.0000 0.0000 0.5000
N 0.5000 0.0000 0.0000
N 0.0000 0.5000 0.0000
Ru 0.5000 0.5000 0.5000
Hf 0.0000 0.0000 0.0000

# 9
Density functional theory data (PBE) for crystalline Cd2SiHg at its relaxed geometry.

Values from the calculation:
- Magnetization: 0.0000 μB/atom
- Uncorrected energy: -1.624 eV per atom
- Volume: 21.6 Å³/atom
- Energy above the most stable polymorph in this dataset: 18 meV/atom
- Mass density: 8714 kg/m³
- ΔE_f (raw): 0.265 eV/atom
- Symmetry: P4/mmm, No. 123

Cell: 3.2120 3.2120 8.3768 Å, 90.00 90.00 90.00°
Atoms (fractional coordinates):
Cd 0.0000 0.0000 0.5231
Cd 0.0000 0.0000 0.9769
Si 0.5000 0.5000 0.7500
Hg 0.5000 0.5000 0.2500

# 10
Density functional theory data (PBE) for crystalline Pm6Ga3Rh at its relaxed geometry.

Values from the calculation:
- Magnetization: 0.0000 μB/atom
- Uncorrected energy: -4.903 eV per atom
- Volume: 27.7 Å³/atom
- Energy of formation from the pure elements: -0.41 eV per atom
- Mass density: 7074 kg/m³
- Symmetry: P2_1/m, No. 11

Cell: 3.7896 10.9614 14.0567 Å, 108.12 90.00 90.00°
Atoms (fractional coordinates):
Pm 0.7500 0.5056 0.6651
Pm 0.2500 0.2339 0.6590
Pm 0.7500 0.7661 0.3410
Pm 0.2500 0.1607 0.2120
Pm 0.2500 0.1431 0.8738
Pm 0.2500 0.5998 0.9186
Pm 0.7500 0.1126 0.4267
Pm 0.7500 0.8569 0.1262
Pm 0.2500 0.8874 0.5733
Pm 0.2500 0.4944 0.3349
Pm 0.7500 0.4002 0.0814
Pm 0.7500 0.8393 0.7880
Ga 0.2500 0.6307 0.1554
Ga 0.2500 0.3553 0.4864
Ga 0.7500 0.3693 0.8446
Ga 0.2500 0.9122 0.9678
Ga 0.7500 0.6447 0.5136
Ga 0.7500 0.0878 0.0322
Rh 0.7500 0.0561 0.7029
Rh 0.2500 0.9439 0.2971

# 11
Density functional theory data (PBE) for crystalline Ca2InBi2 at its relaxed geometry.

Values from the calculation:
- Magnetization: 0.0000 μB/atom
- Uncorrected energy: -3.313 eV per atom
- Volume: 36.8 Å³/atom
- Energy above the most stable polymorph in this dataset: 140 meV/atom
- Energy of formation from the pure elements: -0.41 eV per atom
- Mass density: 5525 kg/m³
- Symmetry: C2/m, No. 12

Cell: 6.4427 7.8901 8.7992 Å, 69.08 68.52 65.90°
Atoms (fractional coordinates):
Ca 0.8752 0.3912 0.8583
Ca 0.6567 0.2275 0.4591
Ca 0.3433 0.7725 0.5409
Ca 0.1248 0.6088 0.1417
Bi 0.8751 0.7304 0.5195
Bi 0.3973 0.3654 0.8400
Bi 0.1249 0.2696 0.4805
Bi 0.6027 0.6346 0.1600
In 0.6323 0.9155 0.8199
In 0.3677 0.0845 0.1801

# 12
Density functional theory data (PBE) for crystalline Y5Ho2Er12 at its relaxed geometry.

Values from the calculation:
- Magnetization: 0.0000 μB/atom
- Uncorrected energy: -4.940 eV per atom
- Volume: 31.8 Å³/atom
- Energy above the most stable polymorph in this dataset: 2 meV/atom
- Energy of formation from the pure elements: 0.12 eV per atom
- Mass density: 7649 kg/m³
- Symmetry: C2/m, No. 12

Cell: 9.1553 8.9924 8.5276 Å, 91.94 90.00 120.60°
Atoms (fractional coordinates):
Er 0.4372 0.2593 0.6695
Er 0.0751 0.1502 0.8750
Er 0.4443 0.8885 0.6635
Er 0.8222 0.2593 0.6695
Er 0.5628 0.7407 0.3305
Er 0.9687 0.2978 0.2411
Er 0.5557 0.1115 0.3365
Er 0.3291 0.2978 0.2411
Er 0.1778 0.7407 0.3305
Er 0.9249 0.8498 0.1250
Er 0.0313 0.7022 0.7589
Er 0.6709 0.7022 0.7589
Y 0.7677 0.5354 0.4289
Y 0.0000 0.0000 0.5000
Y 0.2937 0.5875 0.9805
Y 0.7063 0.4125 0.0195
Y 0.2323 0.4646 0.5711
Ho 0.3266 0.0000 0.0000
Ho 0.6734 0.0000 0.0000

# 13
Density functional theory data (PBE) for crystalline AcTbGdTm at its relaxed geometry.

Values from the calculation:
- Magnetization: 1.9489 μB/atom
- Uncorrected energy: -6.709 eV per atom
- Volume: 34.9 Å³/atom
- Energy of formation from the pure elements: 0.11 eV per atom
- Mass density: 8465 kg/m³
- Symmetry: F-43m, No. 216

Cell: 5.8241 5.8241 5.8241 Å, 60.00 60.00 60.00°
Atoms (fractional coordinates):
Tm 0.5000 0.5000 0.5000
Tb 0.0000 0.0000 0.0000
Gd 0.7500 0.7500 0.7500
Ac 0.2500 0.2500 0.2500

# 14
Density functional theory data (PBE) for crystalline BeNbRh2 at its relaxed geometry.

Values from the calculation:
- Magnetization: 0.0000 μB/atom
- Uncorrected energy: -7.228 eV per atom
- Volume: 14.2 Å³/atom
- Energy of formation from the pure elements: -0.10 eV per atom
- Mass density: 8967 kg/m³
- Symmetry: I-42d, No. 122

Cell: 6.6120 6.6120 5.3531 Å, 51.86 51.86 90.00°
Atoms (fractional coordinates):
Nb 0.0000 0.0000 0.0000
Nb 0.7500 0.2500 0.5000
Be 0.2500 0.7500 0.5000
Be 0.5000 0.5000 0.0000
Rh 0.3750 0.4432 0.7500
Rh 0.1932 0.6250 0.2500
Rh 0.8750 0.8068 0.7500
Rh 0.5568 0.1250 0.2500

# 15
Density functional theory data (PBE) for crystalline InHgPb2 at its relaxed geometry.

Values from the calculation:
- Magnetization: 0.0000 μB/atom
- Uncorrected energy: -2.592 eV per atom
- Volume: 29.2 Å³/atom
- Energy above the most stable polymorph in this dataset: 18 meV/atom
- Energy of formation from the pure elements: 0.02 eV per atom
- Mass density: 10370 kg/m³
- Symmetry: Cmm2, No. 35

Cell: 3.4301 3.4301 10.8678 Å, 90.00 90.00 113.94°
Atoms (fractional coordinates):
Hg 0.0000 0.0000 0.5086
In 0.5000 0.5000 0.7371
Pb 0.5000 0.5000 0.2625
Pb 0.0000 0.0000 0.9918

# 16
Density functional theory data (PBE) for crystalline AgP2W at its relaxed geometry.

Values from the calculation:
- Magnetization: 0.0026 μB/atom
- Uncorrected energy: -5.729 eV per atom
- Volume: 15.6 Å³/atom
- Energy above the most stable polymorph in this dataset: 905 meV/atom
- Energy of formation from the pure elements: 0.93 eV per atom
- Mass density: 9413 kg/m³
- Symmetry: F-43m, No. 216

Cell: 4.4519 4.4519 4.4519 Å, 60.00 60.00 60.00°
Atoms (fractional coordinates):
P 0.2500 0.2500 0.2500
P 0.0000 0.0000 0.0000
W 0.7500 0.7500 0.7500
Ag 0.5000 0.5000 0.5000

# 17
Density functional theory data (PBE) for crystalline MgNiSnSe at its relaxed geometry.

Values from the calculation:
- Magnetization: 0.0000 μB/atom
- Uncorrected energy: -4.137 eV per atom
- Volume: 22.9 Å³/atom
- Energy above the most stable polymorph in this dataset: 34 meV/atom
- Mass density: 5079 kg/m³
- ΔE_f (raw): -0.421 eV/atom
- Symmetry: R3m, No. 160

Cell: 4.1282 4.1282 18.6509 Å, 90.00 90.00 120.00°
Atoms (fractional coordinates):
Se 0.3333 0.6667 0.1248
Se 0.6667 0.3333 0.7914
Se 0.0000 0.0000 0.4581
Ni 0.3333 0.6667 0.9949
Ni 0.0000 0.0000 0.3282
Ni 0.6667 0.3333 0.6616
Sn 0.3333 0.6667 0.2789
Sn 0.6667 0.3333 0.9455
Sn 0.0000 0.0000 0.6122
Mg 0.6667 0.3333 0.4016
Mg 0.0000 0.0000 0.0683
Mg 0.3333 0.6667 0.7350

# 18
Density functional theory data (PBE) for crystalline SmTm12Sc5 at its relaxed geometry.

Values from the calculation:
- Magnetization: 0.0000 μB/atom
- Uncorrected energy: -4.968 eV per atom
- Volume: 28.6 Å³/atom
- Energy of formation from the pure elements: 0.03 eV per atom
- Mass density: 7739 kg/m³
- Symmetry: C2/m, No. 12

Cell: 5.9808 5.9826 16.7528 Å, 93.42 96.85 60.01°
Atoms (fractional coordinates):
Tm 0.6082 0.0000 0.8320
Tm 0.0565 0.6647 0.1681
Tm 0.5533 0.3332 0.6610
Tm 0.2198 0.0000 0.6610
Tm 0.7802 0.0000 0.3390
Tm 0.8865 0.6668 0.6610
Tm 0.2788 0.6647 0.8319
Tm 0.4467 0.6668 0.3390
Tm 0.3918 0.0000 0.1680
Tm 0.9435 0.3353 0.8319
Tm 0.1135 0.3332 0.3390
Tm 0.7212 0.3353 0.1681
Sm 0.0000 0.0000 0.0000
Sc 0.5000 0.0000 0.5000
Sc 0.1667 0.6666 0.5000
Sc 0.8333 0.3334 0.5000
Sc 0.3333 0.3334 0.0000
Sc 0.6668 0.6666 0.0000

# 19
Density functional theory data (PBE) for crystalline Pu4PaGa5 at its relaxed geometry.

Values from the calculation:
- Magnetization: 0.0033 μB/atom
- Uncorrected energy: -8.423 eV per atom
- Volume: 22.2 Å³/atom
- Energy of formation from the pure elements: -0.23 eV per atom
- Mass density: 11647 kg/m³
- Symmetry: P4/mmm, No. 123

Cell: 3.8152 3.8152 15.2381 Å, 90.00 90.00 90.00°
Atoms (fractional coordinates):
Pu 0.0000 0.0000 0.6028
Pu 0.0000 0.0000 0.1915
Pu 0.0000 0.0000 0.3972
Pu 0.0000 0.0000 0.8085
Pa 0.0000 0.0000 0.0000
Ga 0.5000 0.5000 0.7071
Ga 0.5000 0.5000 0.2929
Ga 0.5000 0.5000 0.9021
Ga 0.5000 0.5000 0.0979
Ga 0.5000 0.5000 0.5000

# 20
Density functional theory data (PBE) for crystalline GeBr2O at its relaxed geometry.

Values from the calculation:
- Magnetization: 0.5747 μB/atom
- Uncorrected energy: -2.525 eV per atom
- Volume: 23.0 Å³/atom
- Energy above the most stable polymorph in this dataset: 1611 meV/atom
- Mass density: 4480 kg/m³
- ΔE_f (raw): 0.705 eV/atom
- Symmetry: R-3m, No. 166

Cell: 8.7020 8.7020 8.7020 Å, 23.51 23.51 23.51°
Atoms (fractional coordinates):
Br 0.0999 0.0999 0.0999
Br 0.9001 0.9001 0.9001
O 0.5000 0.5000 0.5000
Ge 0.0000 0.0000 0.0000